(1)
Computed, not measured: Li2Ti3V3O12 after structural relaxation at the GGA-PBEsol level of DFT.

Structure (POSCAR):
```
Li2Ti3V3O12
1.0
5.0292 0.0000 0.0000
1.7023 5.7575 0.0000
1.7097 1.2607 7.4340
Li Ti V O
2 3 3 12
direct
0.0000 0.0000 0.0000
0.5000 0.5000 0.5000
0.0000 0.5000 0.0000
0.0101 0.1693 0.3366
0.9899 0.8307 0.6634
0.4979 0.3389 0.1612
0.5000 0.0000 0.5000
0.5021 0.6611 0.8388
0.2283 0.1953 0.0945
0.2381 0.8583 0.4315
0.2398 0.5315 0.7587
0.2582 0.6448 0.0699
0.2667 0.9625 0.7385
0.2708 0.3069 0.4051
0.7292 0.6931 0.5949
0.7333 0.0375 0.2615
0.7418 0.3552 0.9301
0.7602 0.4685 0.2413
0.7619 0.1417 0.5685
0.7717 0.8047 0.9055
```

Results
Crystal system: triclinic
E, Ry/atom: -0.6323
Formation energy from raw total energies, eV/atom: -2.56
Calculated density, g/cm³: 3.875
Volume, Å³/cell: 215

(2)
Computed, not measured: La2IrAu after structural relaxation at the GGA-PBEsol level of DFT.

Structure (POSCAR):
```
La2IrAu
1.0
0.0000 3.6159 3.6159
3.6159 0.0000 3.6159
3.6159 3.6159 0.0000
La Ir Au
2 1 1
direct
0.2500 0.2500 0.2500
0.7500 0.7500 0.7500
0.0000 0.0000 0.0000
0.5000 0.5000 0.5000
```

Results
Crystal system: cubic
E, Ry/atom: -0.4967
ΔE_f, eV per atom: -0.65
Calculated density, g/cm³: 11.714
Volume, Å³/cell: 95

(3)
Computed, not measured: PtWS3 after structural relaxation at the GGA-PBEsol level of DFT.

Structure (POSCAR):
```
PtWS3
1.0
4.5603 0.0000 0.0000
0.0000 4.5603 0.0000
0.0000 0.0000 4.5603
Pt W S
1 1 3
direct
0.0000 0.0000 0.0000
0.5000 0.5000 0.5000
0.0000 0.0000 0.5000
0.0000 0.5000 0.0000
0.5000 0.0000 0.0000
```

Results
Crystal system: cubic
E, Ry/atom: -0.4106
Formation energy from raw total energies, eV/atom: 1.20
Calculated density, g/cm³: 8.319
Volume, Å³/cell: 95